1.
# LaSbTe2Mo | Alexandria via LeMat-Bulk | PBE | optimized geometry
data_LaSbTe2Mo
_chemical_formula_sum 'La1 Sb1 Te2 Mo1'
_cell_length_a 5.4656
_cell_length_b 5.4656
_cell_length_c 5.1437
_cell_angle_alpha 90.00
_cell_angle_beta 90.00
_cell_angle_gamma 90.00
_space_group_name_H-M_alt 'P 1'
_space_group_IT_number 1
_space_group_name_Hall 'P 1'
loop_
_atom_site_label
_atom_site_type_symbol
_atom_site_fract_x
_atom_site_fract_y
_atom_site_fract_z
_atom_site_occupancy
Te1 Te 0.0000 0.5000 0.0000 1
Sb1 Sb 0.0000 0.0000 0.5000 1
Mo1 Mo 0.0000 0.0000 0.0000 1
Te2 Te 0.5000 0.0000 0.0000 1
La1 La 0.5000 0.5000 0.5000 1
# Relative energy among the computed polymorphs, eV per atom: 0.000
# Formation energy without anion corrections, eV per atom: -0.138



2.
# LiCu2Cl | Alexandria via LeMat-Bulk | PBE | optimized geometry
data_LiCu2Cl
_chemical_formula_sum 'Li1 Cu2 Cl1'
_cell_length_a 4.4363
_cell_length_b 4.4363
_cell_length_c 4.4363
_cell_angle_alpha 119.90
_cell_angle_beta 119.90
_cell_angle_gamma 90.18
_space_group_name_H-M_alt 'P 1'
_space_group_IT_number 1
_space_group_name_Hall 'P 1'
loop_
_atom_site_label
_atom_site_type_symbol
_atom_site_fract_x
_atom_site_fract_y
_atom_site_fract_z
_atom_site_occupancy
Cu1 Cu 0.2500 0.7500 0.5000 1
Li1 Li 0.5000 0.5000 0.0000 1
Cl1 Cl 0.7500 0.2500 0.5000 1
Cu2 Cu 0.0000 0.0000 0.0000 1
# Relative energy among the computed polymorphs, eV per atom: 0.512
# Formation energy without anion corrections, eV per atom: 0.064



3.
# MnNiGeP2 | Alexandria via LeMat-Bulk | PBE | optimized geometry
data_MnNiGeP2
_chemical_formula_sum 'Mn1 Ni1 Ge1 P2'
_cell_length_a 4.2581
_cell_length_b 4.7577
_cell_length_c 4.2581
_cell_angle_alpha 90.00
_cell_angle_beta 90.00
_cell_angle_gamma 90.00
_space_group_name_H-M_alt 'P 1'
_space_group_IT_number 1
_space_group_name_Hall 'P 1'
loop_
_atom_site_label
_atom_site_type_symbol
_atom_site_fract_x
_atom_site_fract_y
_atom_site_fract_z
_atom_site_occupancy
P1 P 0.5000 0.0000 0.0000 1
Mn1 Mn 0.0000 0.5000 0.0000 1
P2 P 0.0000 0.0000 0.5000 1
Ni1 Ni 0.0000 0.0000 0.0000 1
Ge1 Ge 0.5000 0.5000 0.5000 1
# Energy of formation, eV per atom: 0.50



4.
# RbGeO | Alexandria via LeMat-Bulk | PBE | optimized geometry
data_RbGeO
_chemical_formula_sum 'Rb2 Ge2 O2'
_cell_length_a 3.3089
_cell_length_b 3.3089
_cell_length_c 11.9118
_cell_angle_alpha 97.99
_cell_angle_beta 97.99
_cell_angle_gamma 89.99
_space_group_name_H-M_alt 'P 1'
_space_group_IT_number 1
_space_group_name_Hall 'P 1'
loop_
_atom_site_label
_atom_site_type_symbol
_atom_site_fract_x
_atom_site_fract_y
_atom_site_fract_z
_atom_site_occupancy
Ge1 Ge 0.6106 0.6109 0.2216 1
Rb1 Rb 0.7368 0.2365 0.4731 1
O1 O 0.1600 0.6601 0.3202 1
Ge2 Ge 0.3609 0.8606 0.7216 1
O2 O 0.4101 0.4100 0.8202 1
Rb2 Rb 0.9865 0.9867 0.9731 1
# Relative energy among the computed polymorphs, eV per atom: 0.069
# Formation energy without anion corrections, eV per atom: -0.785



5.
# TcSbOs2 | Alexandria via LeMat-Bulk | PBE | optimized geometry
data_TcSbOs2
_chemical_formula_sum 'Tc1 Sb1 Os2'
_cell_length_a 2.9425
_cell_length_b 2.9425
_cell_length_c 7.3704
_cell_angle_alpha 90.00
_cell_angle_beta 90.00
_cell_angle_gamma 90.00
_space_group_name_H-M_alt 'P 1'
_space_group_IT_number 1
_space_group_name_Hall 'P 1'
loop_
_atom_site_label
_atom_site_type_symbol
_atom_site_fract_x
_atom_site_fract_y
_atom_site_fract_z
_atom_site_occupancy
Tc1 Tc 0.5000 0.5000 0.7500 1
Os1 Os 0.0000 0.0000 0.5126 1
Sb1 Sb 0.5000 0.5000 0.2500 1
Os2 Os 0.0000 0.0000 0.9874 1
# Formation energy without anion corrections, eV per atom: 0.443



6.
# Rb3TaH | Alexandria via LeMat-Bulk | PBE | optimized geometry
data_Rb3TaH
_chemical_formula_sum 'Rb3 Ta1 H1'
_cell_length_a 5.8289
_cell_length_b 5.8289
_cell_length_c 5.8289
_cell_angle_alpha 90.00
_cell_angle_beta 90.00
_cell_angle_gamma 90.00
_space_group_name_H-M_alt 'P 1'
_space_group_IT_number 1
_space_group_name_Hall 'P 1'
loop_
_atom_site_label
_atom_site_type_symbol
_atom_site_fract_x
_atom_site_fract_y
_atom_site_fract_z
_atom_site_occupancy
Ta1 Ta 0.5000 0.5000 0.5000 1
Rb1 Rb 0.0000 0.5000 0.0000 1
H1 H 0.0000 0.0000 0.0000 1
Rb2 Rb 0.5000 0.0000 0.0000 1
Rb3 Rb 0.0000 0.0000 0.5000 1
# VASP energy, eV per cell: -12.66



7.
# FeSiRu2 | Alexandria via LeMat-Bulk | PBE | optimized geometry
data_FeSiRu2
_chemical_formula_sum 'Fe1 Si1 Ru2'
_cell_length_a 4.6622
_cell_length_b 4.6622
_cell_length_c 4.3560
_cell_angle_alpha 70.49
_cell_angle_beta 70.49
_cell_angle_gamma 34.33
_space_group_name_H-M_alt 'P 1'
_space_group_IT_number 1
_space_group_name_Hall 'P 1'
loop_
_atom_site_label
_atom_site_type_symbol
_atom_site_fract_x
_atom_site_fract_y
_atom_site_fract_z
_atom_site_occupancy
Fe1 Fe 0.7681 0.7681 0.7886 1
Ru1 Ru 0.2319 0.2319 0.3061 1
Ru2 Ru 0.0128 0.0128 0.9438 1
Si1 Si 0.4872 0.4872 0.4615 1
# Formation energy without anion corrections, eV per atom: -0.210



8.
# VZn3Pt12 | Alexandria via LeMat-Bulk | PBE | optimized geometry
data_VZn3Pt12
_chemical_formula_sum 'V1 Zn3 Pt12'
_cell_length_a 3.9264
_cell_length_b 3.9264
_cell_length_c 15.6812
_cell_angle_alpha 90.00
_cell_angle_beta 90.00
_cell_angle_gamma 90.00
_space_group_name_H-M_alt 'P 1'
_space_group_IT_number 1
_space_group_name_Hall 'P 1'
loop_
_atom_site_label
_atom_site_type_symbol
_atom_site_fract_x
_atom_site_fract_y
_atom_site_fract_z
_atom_site_occupancy
Pt1 Pt 0.5000 0.5000 0.2482 1
Pt2 Pt 0.5000 0.0000 0.3746 1
Pt3 Pt 0.0000 0.5000 0.1211 1
Zn1 Zn 0.0000 0.0000 0.7483 1
Pt4 Pt 0.5000 0.5000 0.5000 1
Pt5 Pt 0.0000 0.5000 0.6254 1
Pt6 Pt 0.0000 0.5000 0.8789 1
Pt7 Pt 0.5000 0.0000 0.1211 1
Pt8 Pt 0.5000 0.0000 0.6254 1
V1 V 0.0000 0.0000 0.0000 1
Pt9 Pt 0.5000 0.5000 0.7518 1
Pt10 Pt 0.0000 0.5000 0.3746 1
Pt11 Pt 0.5000 0.5000 0.0000 1
Pt12 Pt 0.5000 0.0000 0.8789 1
Zn2 Zn 0.0000 0.0000 0.2517 1
Zn3 Zn 0.0000 0.0000 0.5000 1
# Energy of formation, eV per atom: -0.40



9.
# ZrTlRe4 | Alexandria via LeMat-Bulk | PBE | optimized geometry
data_ZrTlRe4
_chemical_formula_sum 'Zr1 Tl1 Re4'
_cell_length_a 5.3158
_cell_length_b 5.3158
_cell_length_c 5.3158
_cell_angle_alpha 60.00
_cell_angle_beta 60.00
_cell_angle_gamma 60.00
_space_group_name_H-M_alt 'P 1'
_space_group_IT_number 1
_space_group_name_Hall 'P 1'
loop_
_atom_site_label
_atom_site_type_symbol
_atom_site_fract_x
_atom_site_fract_y
_atom_site_fract_z
_atom_site_occupancy
Re1 Re 0.3754 0.3754 0.8739 1
Re2 Re 0.3754 0.3754 0.3754 1
Zr1 Zr 0.0000 0.0000 0.0000 1
Re3 Re 0.3754 0.8739 0.3754 1
Tl1 Tl 0.7500 0.7500 0.7500 1
Re4 Re 0.8739 0.3754 0.3754 1
# Energy of formation, eV per atom: 0.22



10.
# Na2SrP2Pd | Alexandria via LeMat-Bulk | PBE | optimized geometry
data_Na2SrP2Pd
_chemical_formula_sum 'Na2 Sr1 P2 Pd1'
_cell_length_a 5.4626
_cell_length_b 5.4626
_cell_length_c 6.5735
_cell_angle_alpha 114.55
_cell_angle_beta 114.55
_cell_angle_gamma 90.00
_space_group_name_H-M_alt 'P 1'
_space_group_IT_number 1
_space_group_name_Hall 'P 1'
loop_
_atom_site_label
_atom_site_type_symbol
_atom_site_fract_x
_atom_site_fract_y
_atom_site_fract_z
_atom_site_occupancy
Sr1 Sr 0.5000 0.5000 0.0000 1
Pd1 Pd 0.0000 0.0000 0.0000 1
Na1 Na 0.2500 0.7500 0.5000 1
Na2 Na 0.7500 0.2500 0.5000 1
P1 P 0.7899 0.7899 0.5798 1
P2 P 0.2101 0.2101 0.4202 1
# Energy of formation, eV per atom: -0.32



11.
# CoTe2P | Alexandria via LeMat-Bulk | PBE | optimized geometry
data_CoTe2P
_chemical_formula_sum 'Co1 Te2 P1'
_cell_length_a 6.4556
_cell_length_b 6.4556
_cell_length_c 6.4556
_cell_angle_alpha 151.77
_cell_angle_beta 135.46
_cell_angle_gamma 53.57
_space_group_name_H-M_alt 'P 1'
_space_group_IT_number 1
_space_group_name_Hall 'P 1'
loop_
_atom_site_label
_atom_site_type_symbol
_atom_site_fract_x
_atom_site_fract_y
_atom_site_fract_z
_atom_site_occupancy
Te1 Te 0.0083 0.0083 0.0000 1
P1 P 0.6492 0.1492 0.5000 1
Te2 Te 0.3226 0.8226 0.5000 1
Co1 Co 0.5200 0.5200 0.0000 1
# Formation energy without anion corrections, eV per atom: 0.223



12.
# Al5VCu | Alexandria via LeMat-Bulk | PBE | optimized geometry
data_Al5VCu
_chemical_formula_sum 'Al10 V2 Cu2'
_cell_length_a 7.4859
_cell_length_b 7.4859
_cell_length_c 8.6466
_cell_angle_alpha 44.02
_cell_angle_beta 44.02
_cell_angle_gamma 65.82
_space_group_name_H-M_alt 'P 1'
_space_group_IT_number 1
_space_group_name_Hall 'P 1'
loop_
_atom_site_label
_atom_site_type_symbol
_atom_site_fract_x
_atom_site_fract_y
_atom_site_fract_z
_atom_site_occupancy
Al1 Al 0.7830 0.4526 0.3806 1
Al2 Al 0.8113 0.1887 0.2500 1
Al3 Al 0.6906 0.8947 0.0154 1
Al4 Al 0.1887 0.8113 0.7500 1
V1 V 0.0000 0.0000 0.5000 1
Cu1 Cu 0.5174 0.4826 0.2500 1
Al5 Al 0.4526 0.7830 0.8806 1
Al6 Al 0.3094 0.1053 0.9846 1
Al7 Al 0.2170 0.5474 0.6194 1
Al8 Al 0.8947 0.6906 0.5154 1
Cu2 Cu 0.4826 0.5174 0.7500 1
Al9 Al 0.5474 0.2170 0.1194 1
Al10 Al 0.1053 0.3094 0.4846 1
V2 V 0.0000 0.0000 0.0000 1
# Energy of formation, eV per atom: 0.07



13.
# SrAs2Pt | Alexandria via LeMat-Bulk | PBE | optimized geometry
data_SrAs2Pt
_chemical_formula_sum 'Sr1 As2 Pt1'
_cell_length_a 3.6346
_cell_length_b 3.6403
_cell_length_c 6.6714
_cell_angle_alpha 90.00
_cell_angle_beta 90.00
_cell_angle_gamma 90.00
_space_group_name_H-M_alt 'P 1'
_space_group_IT_number 1
_space_group_name_Hall 'P 1'
loop_
_atom_site_label
_atom_site_type_symbol
_atom_site_fract_x
_atom_site_fract_y
_atom_site_fract_z
_atom_site_occupancy
Pt1 Pt 0.5000 0.5000 0.2500 1
As1 As 0.0000 0.0000 0.4323 1
Sr1 Sr 0.5000 0.5000 0.7500 1
As2 As 0.0000 0.0000 0.0677 1
# Energy of formation, eV per atom: -0.25



14.
# ScAl2N | Alexandria via LeMat-Bulk | PBE | optimized geometry
data_ScAl2N
_chemical_formula_sum 'Sc2 Al4 N2'
_cell_length_a 6.1362
_cell_length_b 6.1362
_cell_length_c 5.6850
_cell_angle_alpha 57.34
_cell_angle_beta 57.34
_cell_angle_gamma 90.00
_space_group_name_H-M_alt 'P 1'
_space_group_IT_number 1
_space_group_name_Hall 'P 1'
loop_
_atom_site_label
_atom_site_type_symbol
_atom_site_fract_x
_atom_site_fract_y
_atom_site_fract_z
_atom_site_occupancy
Al1 Al 0.2552 0.6250 0.2500 1
Al2 Al 0.3750 0.5052 0.7500 1
Sc1 Sc 0.0000 0.0000 0.0000 1
N1 N 0.5000 0.5000 0.0000 1
Al3 Al 0.8750 0.7448 0.7500 1
N2 N 0.2500 0.7500 0.5000 1
Al4 Al 0.4948 0.1250 0.2500 1
Sc2 Sc 0.7500 0.2500 0.5000 1
# Formation energy without anion corrections, eV per atom: -0.168



15.
# PmDyEr2Th | Alexandria via LeMat-Bulk | PBE | optimized geometry
data_PmDyEr2Th
_chemical_formula_sum 'Pm2 Dy2 Er4 Th2'
_cell_length_a 5.6023
_cell_length_b 8.6621
_cell_length_c 7.0654
_cell_angle_alpha 90.06
_cell_angle_beta 90.00
_cell_angle_gamma 90.00
_space_group_name_H-M_alt 'P 1'
_space_group_IT_number 1
_space_group_name_Hall 'P 1'
loop_
_atom_site_label
_atom_site_type_symbol
_atom_site_fract_x
_atom_site_fract_y
_atom_site_fract_z
_atom_site_occupancy
Pm1 Pm 0.0000 0.0000 0.5000 1
Er1 Er 0.4998 0.6787 0.9993 1
Er2 Er 0.5002 0.6787 0.4993 1
Pm2 Pm 0.0000 0.0000 0.0000 1
Dy1 Dy 0.0000 0.5000 0.2500 1
Th1 Th 0.5000 0.0000 0.2500 1
Dy2 Dy 0.0000 0.5000 0.7500 1
Er3 Er 0.5002 0.3213 0.0007 1
Th2 Th 0.5000 0.0000 0.7500 1
Er4 Er 0.4998 0.3213 0.5007 1
# Energy of formation, eV per atom: 0.32



16.
# KReAs | Alexandria via LeMat-Bulk | PBE | optimized geometry
data_KReAs
_chemical_formula_sum 'K1 Re1 As1'
_cell_length_a 4.5010
_cell_length_b 4.5010
_cell_length_c 4.5010
_cell_angle_alpha 60.00
_cell_angle_beta 60.00
_cell_angle_gamma 60.00
_space_group_name_H-M_alt 'P 1'
_space_group_IT_number 1
_space_group_name_Hall 'P 1'
loop_
_atom_site_label
_atom_site_type_symbol
_atom_site_fract_x
_atom_site_fract_y
_atom_site_fract_z
_atom_site_occupancy
As1 As 0.0000 0.0000 0.0000 1
K1 K 0.5000 0.5000 0.5000 1
Re1 Re 0.7500 0.7500 0.7500 1
# Relative energy among the computed polymorphs, eV per atom: 0.958
# Energy of formation, eV per atom: 1.41



17.
# LaTb3Dy2Y6 | Alexandria via LeMat-Bulk | PBE | optimized geometry
data_LaTb3Dy2Y6
_chemical_formula_sum 'La1 Tb3 Dy2 Y6'
_cell_length_a 6.1994
_cell_length_b 6.1994
_cell_length_c 11.8516
_cell_angle_alpha 94.98
_cell_angle_beta 94.98
_cell_angle_gamma 119.96
_space_group_name_H-M_alt 'P 1'
_space_group_IT_number 1
_space_group_name_Hall 'P 1'
loop_
_atom_site_label
_atom_site_type_symbol
_atom_site_fract_x
_atom_site_fract_y
_atom_site_fract_z
_atom_site_occupancy
Y1 Y 0.0845 0.4190 0.2518 1
Y2 Y 0.7497 0.7497 0.2519 1
Y3 Y 0.2503 0.2503 0.7481 1
Y4 Y 0.5810 0.9155 0.7482 1
Tb1 Tb 0.8329 0.1671 0.5000 1
Y5 Y 0.4190 0.0845 0.2518 1
Tb2 Tb 0.1671 0.8329 0.5000 1
Tb3 Tb 0.5000 0.5000 0.5000 1
Y6 Y 0.9155 0.5810 0.7482 1
Dy1 Dy 0.3334 0.6666 0.0000 1
La1 La 0.0000 0.0000 0.0000 1
Dy2 Dy 0.6666 0.3334 0.0000 1
# Energy of formation, eV per atom: 0.02



18.
# Sm5Pd2Au5 | Alexandria via LeMat-Bulk | PBE | optimized geometry
data_Sm5Pd2Au5
_chemical_formula_sum 'Sm5 Pd2 Au5'
_cell_length_a 4.1180
_cell_length_b 8.5794
_cell_length_c 8.7071
_cell_angle_alpha 90.25
_cell_angle_beta 76.32
_cell_angle_gamma 76.11
_space_group_name_H-M_alt 'P 1'
_space_group_IT_number 1
_space_group_name_Hall 'P 1'
loop_
_atom_site_label
_atom_site_type_symbol
_atom_site_fract_x
_atom_site_fract_y
_atom_site_fract_z
_atom_site_occupancy
Au1 Au 0.9327 0.3002 0.8344 1
Sm1 Sm 0.6191 0.0770 0.6847 1
Sm2 Sm 0.3809 0.9230 0.3153 1
Sm3 Sm 0.6952 0.7048 0.9048 1
Au2 Au 0.2799 0.8000 0.6401 1
Au3 Au 0.0000 0.0000 0.0000 1
Pd1 Pd 0.6229 0.5070 0.2471 1
Pd2 Pd 0.3771 0.4930 0.7529 1
Sm4 Sm 0.0000 0.5000 0.5000 1
Au4 Au 0.0673 0.6998 0.1656 1
Sm5 Sm 0.3048 0.2952 0.0952 1
Au5 Au 0.7201 0.2000 0.3599 1
# Energy of formation, eV per atom: -0.80



19.
# As2OsWBr | Alexandria via LeMat-Bulk | PBE | optimized geometry
data_As2OsWBr
_chemical_formula_sum 'As2 Os1 W1 Br1'
_cell_length_a 4.7249
_cell_length_b 4.7249
_cell_length_c 5.2139
_cell_angle_alpha 90.00
_cell_angle_beta 90.00
_cell_angle_gamma 90.00
_space_group_name_H-M_alt 'P 1'
_space_group_IT_number 1
_space_group_name_Hall 'P 1'
loop_
_atom_site_label
_atom_site_type_symbol
_atom_site_fract_x
_atom_site_fract_y
_atom_site_fract_z
_atom_site_occupancy
As1 As 0.0000 0.5000 0.0000 1
Os1 Os 0.0000 0.0000 0.0000 1
W1 W 0.5000 0.5000 0.5000 1
Br1 Br 0.0000 0.0000 0.5000 1
As2 As 0.5000 0.0000 0.0000 1
# Relative energy among the computed polymorphs, eV per atom: 0.000
# Formation energy without anion corrections, eV per atom: 1.545



20.
# Tl2InAu | Alexandria via LeMat-Bulk | PBE | optimized geometry
data_Tl2InAu
_chemical_formula_sum 'Tl2 In1 Au1'
_cell_length_a 4.8806
_cell_length_b 3.8666
_cell_length_c 6.0495
_cell_angle_alpha 72.92
_cell_angle_beta 90.00
_cell_angle_gamma 90.00
_space_group_name_H-M_alt 'P 1'
_space_group_IT_number 1
_space_group_name_Hall 'P 1'
loop_
_atom_site_label
_atom_site_type_symbol
_atom_site_fract_x
_atom_site_fract_y
_atom_site_fract_z
_atom_site_occupancy
Tl1 Tl 0.0000 0.4316 0.4801 1
In1 In 0.5000 0.7500 0.7500 1
Tl2 Tl 0.0000 0.0684 0.0199 1
Au1 Au 0.5000 0.2500 0.2500 1
# Relative energy among the computed polymorphs, eV per atom: 0.083
# Energy of formation, eV per atom: 0.04